First-principles (PBE) data for a relaxed structure of Na3B5Se9, as listed in Alexandria via LeMat-Bulk.

Computed properties:
- Size of the total moment: 0.000 μB per cell
- Energy relative to the elements, uncorrected: -0.468 eV/atom
- Space-group type: C2/c

Cell lengths 15.324, 15.324, 17.814 Å; angles 115.42, 115.42, 90.02 degrees
Fractional positions:
Na: 0.000 0.000 0.000
Na: 0.000 0.000 0.500
Na: 0.000 0.500 0.000
Na: 0.000 0.500 0.500
Na: 0.085 0.915 0.750
Na: 0.163 0.414 0.748
Na: 0.176 0.750 0.501
Na: 0.249 0.325 0.000
Na: 0.250 0.824 0.999
Na: 0.325 0.249 0.500
Na: 0.335 0.665 0.250
Na: 0.414 0.163 0.248
Na: 0.500 0.000 0.000
Na: 0.500 0.000 0.500
Na: 0.500 0.500 0.000
Na: 0.500 0.500 0.500
Na: 0.586 0.837 0.752
Na: 0.665 0.335 0.750
Na: 0.675 0.751 0.500
Na: 0.750 0.176 0.001
Na: 0.751 0.675 0.000
Na: 0.824 0.250 0.499
Na: 0.837 0.586 0.252
Na: 0.915 0.085 0.250
B: 0.028 0.646 0.749
B: 0.041 0.291 0.083
B: 0.081 0.289 0.416
B: 0.103 0.527 0.250
B: 0.126 0.581 0.915
B: 0.146 0.222 0.250
B: 0.166 0.210 0.585
B: 0.208 0.459 0.417
B: 0.210 0.166 0.085
B: 0.222 0.146 0.750
B: 0.278 0.397 0.251
B: 0.289 0.081 0.916
B: 0.291 0.041 0.583
B: 0.334 0.626 0.415
B: 0.354 0.972 0.751
B: 0.374 0.666 0.085
B: 0.397 0.278 0.751
B: 0.419 0.874 0.585
B: 0.459 0.208 0.917
B: 0.473 0.897 0.250
B: 0.527 0.103 0.750
B: 0.541 0.792 0.083
B: 0.581 0.126 0.415
B: 0.603 0.722 0.249
B: 0.626 0.334 0.915
B: 0.646 0.028 0.249
B: 0.666 0.374 0.585
B: 0.709 0.959 0.417
B: 0.711 0.919 0.084
B: 0.722 0.603 0.749
B: 0.778 0.854 0.250
B: 0.790 0.834 0.915
B: 0.792 0.541 0.583
B: 0.834 0.790 0.415
B: 0.854 0.778 0.750
B: 0.874 0.419 0.085
B: 0.897 0.473 0.750
B: 0.919 0.711 0.584
B: 0.959 0.709 0.917
B: 0.972 0.354 0.251
Se: 0.012 0.240 0.163
Se: 0.025 0.443 0.832
Se: 0.046 0.250 0.500
Se: 0.057 0.693 0.668
Se: 0.077 0.487 0.338
Se: 0.080 0.183 0.995
Se: 0.086 0.688 0.005
Se: 0.112 0.192 0.669
Se: 0.126 0.174 0.333
Se: 0.150 0.422 0.163
Se: 0.160 0.626 0.833
Se: 0.174 0.126 0.833
Se: 0.183 0.080 0.495
Se: 0.188 0.420 0.506
Se: 0.192 0.112 0.169
Se: 0.207 0.659 0.333
Se: 0.240 0.012 0.663
Se: 0.250 0.046 0.000
Se: 0.250 0.546 0.000
Se: 0.259 0.350 0.338
Se: 0.293 0.326 0.667
Se: 0.307 0.943 0.832
Se: 0.312 0.914 0.495
Se: 0.317 0.585 0.506
Se: 0.326 0.293 0.167
Se: 0.341 0.793 0.167
Se: 0.350 0.259 0.838
Se: 0.374 0.840 0.667
Se: 0.388 0.524 0.331
Se: 0.415 0.683 0.994
Se: 0.420 0.188 0.006
Se: 0.422 0.150 0.663
Se: 0.443 0.025 0.332
Se: 0.454 0.750 0.500
Se: 0.476 0.612 0.169
Se: 0.487 0.077 0.838
Se: 0.513 0.923 0.162
Se: 0.524 0.388 0.831
Se: 0.546 0.250 0.500
Se: 0.557 0.975 0.668
Se: 0.578 0.850 0.337
Se: 0.580 0.812 0.994
Se: 0.585 0.317 0.006
Se: 0.612 0.476 0.669
Se: 0.626 0.160 0.333
Se: 0.650 0.741 0.162
Se: 0.659 0.207 0.833
Se: 0.674 0.707 0.833
Se: 0.683 0.415 0.494
Se: 0.688 0.086 0.505
Se: 0.693 0.057 0.168
Se: 0.707 0.674 0.333
Se: 0.741 0.650 0.662
Se: 0.750 0.454 0.000
Se: 0.750 0.954 0.000
Se: 0.760 0.988 0.337
Se: 0.793 0.341 0.667
Se: 0.808 0.888 0.831
Se: 0.812 0.580 0.494
Se: 0.817 0.920 0.505
Se: 0.826 0.874 0.167
Se: 0.840 0.374 0.167
Se: 0.850 0.578 0.837
Se: 0.874 0.826 0.667
Se: 0.888 0.808 0.331
Se: 0.914 0.312 0.995
Se: 0.920 0.817 0.005
Se: 0.923 0.513 0.662
Se: 0.943 0.307 0.332
Se: 0.954 0.750 0.500
Se: 0.975 0.557 0.168
Se: 0.988 0.760 0.837